1.
Tm4TlCd7, optimized geometry, DFT PBE; ΔH_f (0 K) = -0.051 eV/atom; total DFT energy (no corrections) = -2.273 eV per atom; N(E_F) = 5.90 states/eV/f.u.; magnetization = 0.0 μB per formula unit
1.0
-3.491 -3.675 -2.027
2.778 -8.894 3.989
-5.409 -0.944 3.675
Cd Tm Tl
7 4 1
Direct
0.934 0.343 0.788
0.364 0.524 0.748
0.636 0.476 0.252
0.066 0.657 0.212
0.791 0.918 0.501
0.209 0.082 0.499
0.500 0.000 0.000
0.255 0.326 0.163
0.593 0.227 0.587
0.745 0.674 0.837
0.407 0.773 0.413
0.000 0.000 0.000


2.
Tm12Tl6Cd, optimized geometry, DFT PBE; ΔH_f (0 K) = 0.061 eV/atom; total DFT energy (no corrections) = -3.558 eV per atom; N(E_F) = 11.47 states/eV/f.u.; magnetization = 0.0 μB per formula unit
1.0
8.759 -0.142 -0.170
-1.468 8.636 -0.170
-1.468 -1.710 8.467
Tm Tl Cd
12 6 1
Direct
0.060 0.937 0.321
0.572 0.431 0.821
0.431 0.821 0.572
0.063 0.679 0.940
0.179 0.428 0.569
0.321 0.060 0.937
0.679 0.940 0.063
0.569 0.179 0.428
0.940 0.063 0.679
0.821 0.572 0.431
0.937 0.321 0.060
0.428 0.569 0.179
0.696 0.863 0.389
0.389 0.696 0.863
0.863 0.389 0.696
0.137 0.611 0.304
0.304 0.137 0.611
0.611 0.304 0.137
0.000 0.000 0.000


3.
Tm4Tl5Cd, optimized geometry, DFT PBE; ΔH_f (0 K) = -0.248 eV/atom; total DFT energy (no corrections) = -3.311 eV per atom; N(E_F) = 6.22 states/eV/f.u.; magnetization = 0.0 μB per formula unit
1.0
4.686 0.000 -1.607
-0.776 5.953 -2.263
0.619 -0.474 9.442
Tl Tm Cd
5 4 1
Direct
0.296 0.208 0.591
0.500 0.500 0.000
0.897 0.657 0.794
0.103 0.343 0.206
0.704 0.792 0.409
0.911 0.174 0.822
0.301 0.721 0.601
0.699 0.279 0.399
0.089 0.826 0.178
0.500 0.000 0.000


4.
TmTlZnCd, optimized geometry, DFT PBE; ΔH_f (0 K) = -0.151 eV/atom; total DFT energy (no corrections) = -2.408 eV per atom; N(E_F) = 0.75 states/eV/f.u.; magnetization = 0.0 μB per formula unit
1.0
5.049 0.000 0.000
2.524 4.372 0.000
2.524 1.457 4.122
Zn Tl Tm Cd
1 1 1 1
Direct
0.000 0.000 0.000
0.500 0.500 0.500
0.750 0.750 0.750
0.250 0.250 0.250


5.
TmZrTlCd, optimized geometry, DFT PBE; ΔH_f (0 K) = -0.136 eV/atom; total DFT energy (no corrections) = -4.211 eV per atom; N(E_F) = 3.37 states/eV/f.u.; magnetization = 0.0 μB per formula unit
1.0
-3.473 3.304 1.818
-4.255 0.982 -2.686
-4.536 -1.709 1.669
Zr Tm Cd Tl
1 1 1 1
Direct
0.750 0.750 0.750
0.250 0.250 0.250
0.000 0.000 0.000
0.500 0.500 0.500


6.
Tl3VCd, optimized geometry, DFT PBE; ΔH_f (0 K) = 0.482 eV/atom; total DFT energy (no corrections) = -2.944 eV per atom; N(E_F) = 2.64 states/eV/f.u.; magnetization = 3.6 μB per formula unit
1.0
-4.470 -3.099 -0.334
2.803 -4.253 1.938
-1.362 1.418 5.083
V Tl Cd
1 3 1
Direct
0.000 0.000 0.000
0.000 0.000 0.500
0.000 0.500 0.000
0.500 0.000 0.000
0.500 0.500 0.500


7.
TlVCd2, optimized geometry, DFT PBE; ΔH_f (0 K) = 0.483 eV/atom; total DFT energy (no corrections) = -2.846 eV per atom; energy above the lowest structure with this stoichiometry = 0 meV/atom; N(E_F) = 4.09 states/eV/f.u.; magnetization = 3.5 μB per formula unit
1.0
0.000 3.547 3.547
3.547 0.000 3.547
3.547 3.547 0.000
V Cd Tl
1 2 1
Direct
0.000 0.000 0.000
0.250 0.250 0.250
0.750 0.750 0.750
0.500 0.500 0.500


8.
TlV2Cd, optimized geometry, DFT PBE; ΔH_f (0 K) = 0.597 eV/atom; total DFT energy (no corrections) = -4.783 eV per atom; energy above the lowest structure with this stoichiometry = 0 meV/atom; N(E_F) = 6.97 states/eV/f.u.; magnetization = 5.3 μB per formula unit
1.0
-3.513 -1.554 2.807
-0.297 1.517 4.499
-3.499 2.954 1.288
Tl V Cd
1 2 1
Direct
0.500 0.500 0.500
0.750 0.750 0.750
0.250 0.250 0.250
0.000 0.000 0.000


9.
TlV2Cd, optimized geometry, DFT PBE; ΔH_f (0 K) = 0.907 eV/atom; total DFT energy (no corrections) = -4.473 eV per atom; energy above the lowest structure with this stoichiometry = 310 meV/atom; N(E_F) = 3.60 states/eV/f.u.; magnetization = 0.0 μB per formula unit
1.0
7.443 0.000 0.000
0.000 7.443 0.000
3.722 3.722 2.793
V Tl Cd
4 2 2
Direct
0.875 0.875 0.750
0.125 0.625 0.250
0.375 0.375 0.750
0.625 0.125 0.250
0.000 0.000 0.000
0.750 0.250 0.500
0.500 0.500 0.000
0.250 0.750 0.500


10.
TlVCd2, optimized geometry, DFT PBE; ΔH_f (0 K) = 0.609 eV/atom; total DFT energy (no corrections) = -2.720 eV per atom; energy above the lowest structure with this stoichiometry = 126 meV/atom; N(E_F) = 3.45 states/eV/f.u.; magnetization = 3.1 μB per formula unit
1.0
3.076 0.000 0.000
1.538 2.664 0.000
1.538 0.888 11.802
V Cd Tl
1 2 1
Direct
0.000 0.000 0.000
0.081 0.081 0.758
0.919 0.919 0.242
0.500 0.500 0.500


11.
TlVCd2, optimized geometry, DFT PBE; ΔH_f (0 K) = 0.533 eV/atom; total DFT energy (no corrections) = -2.796 eV per atom; energy above the lowest structure with this stoichiometry = 50 meV/atom; N(E_F) = 3.66 states/eV/f.u.; magnetization = 2.8 μB per formula unit
1.0
-2.960 -6.210 4.283
4.167 -5.182 -4.633
2.857 -5.513 1.647
Cd V Tl
4 2 2
Direct
0.875 0.854 0.750
0.375 0.396 0.750
0.604 0.125 0.250
0.146 0.625 0.250
0.500 0.500 0.000
0.250 0.750 0.500
0.000 0.000 0.000
0.750 0.250 0.500


12.
Tl2CdW, optimized geometry, DFT PBE; ΔH_f (0 K) = 0.700 eV/atom; total DFT energy (no corrections) = -3.951 eV per atom; energy above the lowest structure with this stoichiometry = 55 meV/atom; N(E_F) = 2.87 states/eV/f.u.; magnetization = 0.4 μB per formula unit
1.0
-0.809 7.150 2.232
-5.322 3.912 3.624
5.220 -5.329 -1.054
W Tl Cd
1 2 1
Direct
0.499 0.499 0.000
0.007 0.007 0.000
0.313 0.813 0.500
0.681 0.181 0.500